# EuNpO3

EuNpO3 at its PBEsol-relaxed geometry (SCAN, Alexandria).

The structure in POSCAR format:
```
EuNpO3
1.0
5.8690 0.0000 0.0000
0.0000 6.0355 0.0000
0.0000 0.0000 8.3991
Np Eu O
4 4 12
Direct
0.0000 0.0000 0.0000
0.5000 0.5000 0.0000
0.0000 0.0000 0.5000
0.5000 0.5000 0.5000
0.9835 0.5513 0.7500
0.4835 0.9487 0.2500
0.5165 0.0513 0.7500
0.0165 0.4487 0.2500
0.3004 0.2012 0.4334
0.8004 0.2988 0.9334
0.1221 0.9479 0.7500
0.1996 0.7012 0.0666
0.1996 0.7012 0.4334
0.8004 0.2988 0.5666
0.3779 0.4479 0.7500
0.3004 0.2012 0.0666
0.6996 0.7988 0.9334
0.6221 0.5521 0.2500
0.6996 0.7988 0.5666
0.8779 0.0521 0.2500
```

=====

# ZrTaSi2Ru2

ZrTaSi2Ru2 at its PBEsol-relaxed geometry (SCAN, Alexandria).

The structure in POSCAR format:
```
ZrTaSi2Ru2
1.0
-2.1981 0.1815 -3.0067
-2.1401 -6.0090 1.2018
-8.1803 4.2317 6.2358
Ru Si Zr Ta
6 6 3 3
Direct
0.0000 0.8769 0.8765
0.0000 0.8774 0.1213
0.0000 0.2442 0.9964
0.0000 0.7483 0.5026
0.0000 0.3762 0.6239
0.0000 0.3785 0.3784
0.5000 0.4914 0.4995
0.0000 0.5024 0.1624
0.0000 0.0050 0.3380
0.0000 0.4987 0.8343
0.0000 0.0086 0.6684
0.5000 0.9894 0.9959
0.5000 0.7131 0.2906
0.5000 0.2111 0.2083
0.5000 0.7119 0.7092
0.5000 0.2131 0.7926
0.5000 0.0794 0.5033
0.5000 0.5742 0.9983
```

=====

# BeTl2Si

BeTl2Si at its PBEsol-relaxed geometry (SCAN, Alexandria).

The structure in POSCAR format:
```
BeTl2Si
1.0
-1.5557 1.1659 2.8283
-2.1441 -3.2602 0.1646
5.0751 -3.2398 1.9378
Tl Be Si
2 1 1
Direct
0.6884 0.0000 0.7621
0.3116 0.0000 0.2379
0.5000 0.5000 0.0000
0.0000 0.5000 0.5000
```

For the relative energy among the computed polymorphs, the calculation gives 0.000 eV/atom.

=====

# TaSb8

TaSb8 at its PBEsol-relaxed geometry (SCAN, Alexandria).

The structure in POSCAR format:
```
TaSb8
1.0
-0.5916 -3.8238 -2.5977
6.1841 -1.3072 -3.6646
1.9823 -5.8241 3.9410
Sb Ta
8 1
Direct
0.6540 0.6919 0.0000
0.0000 0.6819 0.3181
0.6819 0.3181 0.3181
0.0000 0.3181 0.6819
0.6540 0.0000 0.6919
0.3460 0.0000 0.3081
0.3460 0.3081 0.0000
0.3181 0.6819 0.6819
0.0000 0.0000 0.0000
```

=====

no.,formation energy without anion corrections (eV/atom)
1,-3.129
2,-0.836
3,0.773
4,0.361